1.
# Ce3Al4Ge2 PBE optimized geometry
# - Density of states at the Fermi level: 17.18 states/eV/f.u.
# - Formation energy: -0.520 eV per atom
data_Ce3Al4Ge2
_space_group_name_H-M_alt 'C 1 2/m 1'
_space_group_IT_number 12
_cell_length_a 11.194
_cell_length_b 4.320
_cell_length_c 8.573
_cell_angle_alpha 90.00
_cell_angle_beta 103.03
_cell_angle_gamma 90.00
loop_
_space_group_symop_operation_xyz
'x,y,z'
'-x,-y,-z'
'-x,y,-z'
'x,-y,z'
'x+1/2,y+1/2,z'
'-x+1/2,-y+1/2,-z'
'-x+1/2,y+1/2,-z'
'x+1/2,-y+1/2,z'
loop_
_atom_site_label
_atom_site_type_symbol
_atom_site_fract_x
_atom_site_fract_y
_atom_site_fract_z
Ce1 Ce 0.000 0.000 0.000
Ce2 Ce 0.169 0.500 0.663
Al1 Al 0.047 0.000 0.381
Al2 Al 0.229 0.500 0.062
Ge1 Ge 0.112 0.500 0.278

***

2.
# CsCa2AsBr8 PBE optimized geometry
# - Density of states at the Fermi level: 0.00 states/eV/f.u.
# - E: -3.26 eV per atom
data_CsCa2AsBr8
_space_group_name_H-M_alt 'P -1'
_space_group_IT_number 2
_cell_length_a 6.749
_cell_length_b 6.925
_cell_length_c 9.317
_cell_angle_alpha 89.86
_cell_angle_beta 89.81
_cell_angle_gamma 88.73
loop_
_space_group_symop_operation_xyz
'x,y,z'
'-x,-y,-z'
loop_
_atom_site_label
_atom_site_type_symbol
_atom_site_fract_x
_atom_site_fract_y
_atom_site_fract_z
Cs1 Cs 0.000 0.000 0.000
Ca1 Ca 0.499 0.500 0.251
As1 As 0.000 0.000 0.500
Br1 Br 0.240 0.840 0.696
Br2 Br 0.242 0.842 0.303
Br3 Br 0.243 0.322 0.500
Br4 Br 0.265 0.410 0.000

***

3.
# CuP2S6 PBE optimized geometry
# - Density of states at the Fermi level: 5.96 states/eV/f.u.
# - E: -4.50 eV per atom
data_CuP2S6
_space_group_name_H-M_alt 'C 1 2/c 1'
_space_group_IT_number 15
_cell_length_a 12.117
_cell_length_b 12.696
_cell_length_c 5.720
_cell_angle_alpha 90.00
_cell_angle_beta 116.10
_cell_angle_gamma 90.00
loop_
_space_group_symop_operation_xyz
'x,y,z'
'-x,-y,-z'
'-x,y,-z+1/2'
'x,-y,z+1/2'
'x+1/2,y+1/2,z'
'-x+1/2,-y+1/2,-z'
'-x+1/2,y+1/2,-z+1/2'
'x+1/2,-y+1/2,z+1/2'
loop_
_atom_site_label
_atom_site_type_symbol
_atom_site_fract_x
_atom_site_fract_y
_atom_site_fract_z
Cu1 Cu 0.000 0.212 0.250
P1 P 0.222 0.417 0.302
S1 S 0.096 0.093 0.589
S2 S 0.132 0.288 0.112
S3 S 0.156 0.438 0.590

***

4.
# SrTe3As PBE optimized geometry
# - Density of states at the Fermi level: 1.97 states/eV/f.u.
# - E: -3.69 eV per atom
data_SrTe3As
_space_group_name_H-M_alt 'P 1 21/m 1'
_space_group_IT_number 11
_cell_length_a 8.683
_cell_length_b 4.223
_cell_length_c 9.385
_cell_angle_alpha 90.00
_cell_angle_beta 101.25
_cell_angle_gamma 90.00
loop_
_space_group_symop_operation_xyz
'x,y,z'
'-x,-y,-z'
'-x,y+1/2,-z'
'x,-y+1/2,z'
loop_
_atom_site_label
_atom_site_type_symbol
_atom_site_fract_x
_atom_site_fract_y
_atom_site_fract_z
Sr1 Sr 0.174 0.250 0.279
Te1 Te 0.109 0.250 0.913
Te2 Te 0.151 0.750 0.559
Te3 Te 0.446 0.750 0.172
As1 As 0.318 0.750 0.872

***

5.
# Tc2HgPb PBE optimized geometry
# - Density of states at the Fermi level: 3.61 states/eV/f.u.
# - Formation energy: 0.858 eV per atom
data_Tc2HgPb
_space_group_name_H-M_alt 'C 1 2/m 1'
_space_group_IT_number 12
_cell_length_a 6.008
_cell_length_b 9.411
_cell_length_c 3.042
_cell_angle_alpha 90.00
_cell_angle_beta 117.84
_cell_angle_gamma 90.00
loop_
_space_group_symop_operation_xyz
'x,y,z'
'-x,-y,-z'
'-x,y,-z'
'x,-y,z'
'x+1/2,y+1/2,z'
'-x+1/2,-y+1/2,-z'
'-x+1/2,y+1/2,-z'
'x+1/2,-y+1/2,z'
loop_
_atom_site_label
_atom_site_type_symbol
_atom_site_fract_x
_atom_site_fract_y
_atom_site_fract_z
Tc1 Tc 0.250 0.250 0.000
Hg1 Hg 0.000 0.000 0.500
Pb1 Pb 0.000 0.500 0.500

***

6.
# NaCePu2Se4 PBE optimized geometry
# - Density of states at the Fermi level: 19.31 states/eV/f.u.
# - E: -7.80 eV per atom
data_NaCePu2Se4
_space_group_name_H-M_alt 'P 1 2/m 1'
_space_group_IT_number 10
_cell_length_a 7.259
_cell_length_b 4.194
_cell_length_c 7.278
_cell_angle_alpha 90.00
_cell_angle_beta 109.25
_cell_angle_gamma 90.00
loop_
_space_group_symop_operation_xyz
'x,y,z'
'-x,-y,-z'
'-x,y,-z'
'x,-y,z'
loop_
_atom_site_label
_atom_site_type_symbol
_atom_site_fract_x
_atom_site_fract_y
_atom_site_fract_z
Na1 Na 0.000 0.000 0.000
Ce1 Ce 0.500 0.500 0.000
Pu1 Pu 0.000 0.500 0.500
Pu2 Pu 0.500 0.000 0.500
Se1 Se 0.248 0.000 0.745
Se2 Se 0.255 0.500 0.257

***

7.
# In3HgP PBE optimized geometry
# - Density of states at the Fermi level: 2.63 states/eV/f.u.
# - Formation energy: 0.671 eV per atom
data_In3HgP
_space_group_name_H-M_alt 'P m -3 m'
_space_group_IT_number 221
_space_group_name_Hall '-P 4 2 3'
_cell_length_a 5.433
_cell_length_b 5.433
_cell_length_c 5.433
_cell_angle_alpha 90.00
_cell_angle_beta 90.00
_cell_angle_gamma 90.00
loop_
_atom_site_label
_atom_site_type_symbol
_atom_site_fract_x
_atom_site_fract_y
_atom_site_fract_z
In1 In 0.000 0.000 0.500
Hg1 Hg 0.000 0.000 0.000
P1 P 0.500 0.500 0.500

***

8.
# KCr2Si2 PBE optimized geometry
# - Density of states at the Fermi level: 3.91 states/eV/f.u.
# - E: -5.90 eV per atom
data_KCr2Si2
_space_group_name_H-M_alt 'P 4/m b m'
_space_group_IT_number 127
_space_group_name_Hall '-P 4 2ab'
_cell_length_a 7.915
_cell_length_b 7.915
_cell_length_c 2.602
_cell_angle_alpha 90.00
_cell_angle_beta 90.00
_cell_angle_gamma 90.00
loop_
_atom_site_label
_atom_site_type_symbol
_atom_site_fract_x
_atom_site_fract_y
_atom_site_fract_z
K1 K 0.000 0.000 0.000
Cr1 Cr 0.095 0.405 0.500
Si1 Si 0.171 0.671 0.000

***

9.
# LiTbInRh PBE optimized geometry
# - Density of states at the Fermi level: 4.48 states/eV/f.u.
# - Formation energy: -0.538 eV per atom
data_LiTbInRh
_space_group_name_H-M_alt 'F -4 3 m'
_space_group_IT_number 216
_space_group_name_Hall 'F -4 2 3'
_cell_length_a 6.748
_cell_length_b 6.748
_cell_length_c 6.748
_cell_angle_alpha 90.00
_cell_angle_beta 90.00
_cell_angle_gamma 90.00
loop_
_atom_site_label
_atom_site_type_symbol
_atom_site_fract_x
_atom_site_fract_y
_atom_site_fract_z
Li1 Li 0.000 0.000 0.000
Tb1 Tb 0.250 0.250 0.750
In1 In 0.250 0.250 0.250
Rh1 Rh 0.000 0.000 0.500

***

10.
# Cr2MoRu PBE optimized geometry
# - Density of states at the Fermi level: 5.21 states/eV/f.u.
# - Formation energy: 0.169 eV per atom
data_Cr2MoRu
_space_group_name_H-M_alt 'P 1 2/m 1'
_space_group_IT_number 10
_cell_length_a 2.642
_cell_length_b 4.130
_cell_length_c 5.023
_cell_angle_alpha 90.00
_cell_angle_beta 100.62
_cell_angle_gamma 90.00
loop_
_space_group_symop_operation_xyz
'x,y,z'
'-x,-y,-z'
'-x,y,-z'
'x,-y,z'
loop_
_atom_site_label
_atom_site_type_symbol
_atom_site_fract_x
_atom_site_fract_y
_atom_site_fract_z
Cr1 Cr 0.198 0.000 0.245
Mo1 Mo 0.000 0.500 0.500
Ru1 Ru 0.500 0.500 0.000

***

11.
# Rb2LiTa PBE optimized geometry
# - Density of states at the Fermi level: 5.96 states/eV/f.u.
# - Formation energy: 1.583 eV per atom
data_Rb2LiTa
_space_group_name_H-M_alt 'I -4 2 d'
_space_group_IT_number 122
_space_group_name_Hall 'I -4 2bw'
_cell_length_a 10.025
_cell_length_b 10.025
_cell_length_c 6.756
_cell_angle_alpha 90.00
_cell_angle_beta 90.00
_cell_angle_gamma 90.00
loop_
_atom_site_label
_atom_site_type_symbol
_atom_site_fract_x
_atom_site_fract_y
_atom_site_fract_z
Rb1 Rb 0.226 0.250 0.125
Li1 Li 0.000 0.000 0.000
Ta1 Ta 0.000 0.000 0.500

***

12.
# Y2MgNbN PBE optimized geometry
# - Density of states at the Fermi level: 4.37 states/eV/f.u.
# - E: -7.15 eV per atom
data_Y2MgNbN
_space_group_name_H-M_alt 'P 4/m m m'
_space_group_IT_number 123
_space_group_name_Hall '-P 4 2'
_cell_length_a 4.934
_cell_length_b 4.934
_cell_length_c 4.240
_cell_angle_alpha 90.00
_cell_angle_beta 90.00
_cell_angle_gamma 90.00
loop_
_atom_site_label
_atom_site_type_symbol
_atom_site_fract_x
_atom_site_fract_y
_atom_site_fract_z
Y1 Y 0.000 0.500 0.000
Mg1 Mg 0.000 0.000 0.500
Nb1 Nb 0.500 0.500 0.500
N1 N 0.500 0.500 0.000

***

13.
# PrSmCO PBE optimized geometry
# - Density of states at the Fermi level: 1.22 states/eV/f.u.
# - E: -7.39 eV per atom
data_PrSmCO
_space_group_name_H-M_alt 'R 3 m'
_space_group_IT_number 160
_space_group_name_Hall 'R 3 -2"'
_cell_length_a 3.6884
_cell_length_b 3.6884
_cell_length_c 17.9547
_cell_angle_alpha 90.00
_cell_angle_beta 90.00
_cell_angle_gamma 120.00
loop_
_atom_site_label
_atom_site_type_symbol
_atom_site_fract_x
_atom_site_fract_y
_atom_site_fract_z
Pr1 Pr 0.0000 0.0000 0.0000
Sm1 Sm 0.0000 0.0000 0.5033
C1 C 0.0000 0.0000 0.2510
O1 O 0.0000 0.0000 0.7563

***

14.
# DyPuIr2 PBE optimized geometry
# - Density of states at the Fermi level: 8.80 states/eV/f.u.
# - Formation energy: -0.589 eV per atom
data_DyPuIr2
_space_group_name_H-M_alt 'P 4/m m m'
_space_group_IT_number 123
_space_group_name_Hall '-P 4 2'
_cell_length_a 4.985
_cell_length_b 4.985
_cell_length_c 3.238
_cell_angle_alpha 90.00
_cell_angle_beta 90.00
_cell_angle_gamma 90.00
loop_
_atom_site_label
_atom_site_type_symbol
_atom_site_fract_x
_atom_site_fract_y
_atom_site_fract_z
Dy1 Dy 0.000 0.000 0.000
Pu1 Pu 0.500 0.500 0.000
Ir1 Ir 0.000 0.500 0.500

***

15.
# Tb5HoEr2Mg PBE optimized geometry
# - Density of states at the Fermi level: 11.82 states/eV/f.u.
# - Formation energy: 0.103 eV per atom
data_Tb5HoEr2Mg
_space_group_name_H-M_alt 'C m c 21'
_space_group_IT_number 36
_cell_length_a 5.396
_cell_length_b 19.923
_cell_length_c 10.514
_cell_angle_alpha 90.00
_cell_angle_beta 90.00
_cell_angle_gamma 90.00
loop_
_space_group_symop_operation_xyz
'x,y,z'
'-x,-y,z+1/2'
'-x,y,z'
'x,-y,z+1/2'
'x+1/2,y+1/2,z'
'-x+1/2,-y+1/2,z+1/2'
'-x+1/2,y+1/2,z'
'x+1/2,-y+1/2,z+1/2'
loop_
_atom_site_label
_atom_site_type_symbol
_atom_site_fract_x
_atom_site_fract_y
_atom_site_fract_z
Tb1 Tb 0.000 0.000 0.000
Tb2 Tb 0.000 0.118 0.251
Tb3 Tb 0.000 0.210 0.952
Tb4 Tb 0.000 0.211 0.550
Tb5 Tb 0.000 0.486 0.251
Ho1 Ho 0.000 0.295 0.251
Er1 Er 0.000 0.386 0.537
Er2 Er 0.000 0.386 0.964
Mg1 Mg 0.000 0.095 0.749

***

16.
# Sr2Li3MgPb4 PBE optimized geometry
# - Density of states at the Fermi level: 6.33 states/eV/f.u.
# - Formation energy: -0.360 eV per atom
data_Sr2Li3MgPb4
_space_group_name_H-M_alt 'P -4 m 2'
_space_group_IT_number 115
_cell_length_a 4.804
_cell_length_b 4.804
_cell_length_c 11.959
_cell_angle_alpha 90.00
_cell_angle_beta 90.00
_cell_angle_gamma 90.00
loop_
_space_group_symop_operation_xyz
'x,y,z'
'y,-x,-z'
'-x,-y,z'
'-y,x,-z'
'-x,y,z'
'-y,-x,-z'
'x,-y,z'
'y,x,-z'
loop_
_atom_site_label
_atom_site_type_symbol
_atom_site_fract_x
_atom_site_fract_y
_atom_site_fract_z
Sr1 Sr 0.000 0.500 0.248
Li1 Li 0.000 0.000 0.000
Li2 Li 0.000 0.500 0.634
Mg1 Mg 0.500 0.500 0.000
Pb1 Pb 0.000 0.000 0.500
Pb2 Pb 0.000 0.500 0.862
Pb3 Pb 0.500 0.500 0.500

***

17.
# CePrSc2Bi4 PBE optimized geometry
# - Density of states at the Fermi level: 8.15 states/eV/f.u.
# - Formation energy: -0.757 eV per atom
data_CePrSc2Bi4
_space_group_name_H-M_alt 'P 1 2/m 1'
_space_group_IT_number 10
_cell_length_a 7.660
_cell_length_b 4.458
_cell_length_c 7.724
_cell_angle_alpha 90.00
_cell_angle_beta 109.57
_cell_angle_gamma 90.00
loop_
_space_group_symop_operation_xyz
'x,y,z'
'-x,-y,-z'
'-x,y,-z'
'x,-y,z'
loop_
_atom_site_label
_atom_site_type_symbol
_atom_site_fract_x
_atom_site_fract_y
_atom_site_fract_z
Ce1 Ce 0.000 0.000 0.000
Pr1 Pr 0.000 0.500 0.500
Sc1 Sc 0.500 0.000 0.500
Sc2 Sc 0.500 0.500 0.000
Bi1 Bi 0.273 0.500 0.256
Bi2 Bi 0.274 0.000 0.760

***

18.
# DyErTmSc PBE optimized geometry
# - Density of states at the Fermi level: 6.27 states/eV/f.u.
# - Formation energy: 0.044 eV per atom
data_DyErTmSc
_space_group_name_H-M_alt 'I -4 m 2'
_space_group_IT_number 119
_space_group_name_Hall 'I -4 -2'
_cell_length_a 4.892
_cell_length_b 4.892
_cell_length_c 9.701
_cell_angle_alpha 90.00
_cell_angle_beta 90.00
_cell_angle_gamma 90.00
loop_
_atom_site_label
_atom_site_type_symbol
_atom_site_fract_x
_atom_site_fract_y
_atom_site_fract_z
Dy1 Dy 0.000 0.000 0.000
Er1 Er 0.000 0.500 0.250
Tm1 Tm 0.000 0.500 0.750
Sc1 Sc 0.000 0.000 0.500

***

19.
# NaAg5 PBE optimized geometry
# - Density of states at the Fermi level: 1.86 states/eV/f.u.
# - Formation energy: 0.015 eV per atom
data_NaAg5
_space_group_name_H-M_alt 'P 1 21/m 1'
_space_group_IT_number 11
_cell_length_a 5.174
_cell_length_b 8.888
_cell_length_c 5.187
_cell_angle_alpha 90.00
_cell_angle_beta 110.35
_cell_angle_gamma 90.00
loop_
_space_group_symop_operation_xyz
'x,y,z'
'-x,-y,-z'
'-x,y+1/2,-z'
'x,-y+1/2,z'
loop_
_atom_site_label
_atom_site_type_symbol
_atom_site_fract_x
_atom_site_fract_y
_atom_site_fract_z
Na1 Na 0.000 0.250 0.250
Ag1 Ag 0.000 0.084 0.750
Ag2 Ag 0.499 0.250 0.750
Ag3 Ag 0.500 0.078 0.250

***

20.
# K2MgSc PBE optimized geometry
# - Density of states at the Fermi level: 4.56 states/eV/f.u.
# - Formation energy: 0.481 eV per atom
data_K2MgSc
_space_group_name_H-M_alt 'I m m 2'
_space_group_IT_number 44
_cell_length_a 3.537
_cell_length_b 6.895
_cell_length_c 13.751
_cell_angle_alpha 90.00
_cell_angle_beta 90.00
_cell_angle_gamma 90.00
loop_
_space_group_symop_operation_xyz
'x,y,z'
'-x,-y,z'
'-x,y,z'
'x,-y,z'
'x+1/2,y+1/2,z+1/2'
'-x+1/2,-y+1/2,z+1/2'
'-x+1/2,y+1/2,z+1/2'
'x+1/2,-y+1/2,z+1/2'
loop_
_atom_site_label
_atom_site_type_symbol
_atom_site_fract_x
_atom_site_fract_y
_atom_site_fract_z
K1 K 0.000 0.000 0.000
K2 K 0.000 0.500 0.211
Mg1 Mg 0.000 0.500 0.750
Sc1 Sc 0.000 0.000 0.430